! ScBe2In2 (GGA-PBE, relaxed); values from VASP
&SYSTEM
  ibrav = 0, nat = 5, ntyp = 3
/
ATOMIC_SPECIES
Sc 44.96 Sc.upf
Be 9.01 Be.upf
In 114.82 In.upf
ATOMIC_POSITIONS crystal
Sc 0.000 0.000 0.000
Be 0.597 0.597 0.000
Be 0.403 0.403 0.000
In 0.250 0.750 0.500
In 0.750 0.250 0.500
CELL_PARAMETERS angstrom
-2.046 2.046 5.243
2.046 -2.046 5.243
2.046 2.046 -5.243
! SG   I4/mmm (139)
! E above lowest polymorph   0 meV per atom
! DOS(E_F)   1.6 states/eV per cell



! Sc2BeIn (GGA-PBE, relaxed); values from VASP
&SYSTEM
  ibrav = 0, nat = 4, ntyp = 3
/
ATOMIC_SPECIES
Sc 44.96 Sc.upf
Be 9.01 Be.upf
In 114.82 In.upf
ATOMIC_POSITIONS crystal
Sc 0.012 0.012 0.971
Sc 0.488 0.488 0.529
Be 0.750 0.750 0.750
In 0.250 0.250 0.250
CELL_PARAMETERS angstrom
4.789 -0.008 0.013
3.603 3.156 0.013
1.251 0.469 5.569
! SG   C2/m (12)
! E above lowest polymorph   289 meV per atom
! DOS(E_F)   2.9 states/eV per cell



! ScBeIn (GGA-PBE, relaxed); values from VASP
&SYSTEM
  ibrav = 0, nat = 6, ntyp = 3
/
ATOMIC_SPECIES
Sc 44.96 Sc.upf
Be 9.01 Be.upf
In 114.82 In.upf
ATOMIC_POSITIONS crystal
Sc 0.304 0.047 0.270
Sc 0.804 0.830 0.836
Be 0.304 0.695 0.567
Be 0.804 0.181 0.539
In 0.304 0.332 0.841
In 0.804 0.544 0.265
CELL_PARAMETERS angstrom
4.450 0.000 0.000
0.000 4.297 -0.001
0.000 -2.151 5.513
! SG   Cmcm (63)
! E above lowest polymorph   100 meV per atom
! DOS(E_F)   2.5 states/eV per cell



! ScBeIn (GGA-PBE, relaxed); values from VASP
&SYSTEM
  ibrav = 0, nat = 6, ntyp = 3
/
ATOMIC_SPECIES
Sc 44.96 Sc.upf
Be 9.01 Be.upf
In 114.82 In.upf
ATOMIC_POSITIONS crystal
Sc 0.807 0.132 0.503
Sc 0.294 0.895 0.378
Be 0.136 0.259 0.775
Be 0.830 0.453 0.831
In 0.851 0.736 0.179
In 0.389 0.513 0.022
CELL_PARAMETERS angstrom
5.983 0.017 -0.019
-1.148 5.422 0.004
1.520 1.997 3.452
! SG   P1 (1)
! E above lowest polymorph   132 meV per atom
! DOS(E_F)   3.4 states/eV per cell



- Look up the DOS(E_F) of the third one.
  2.5 states/eV per cell



- Which of these has the highest DOS(E_F)?
  number 4



- Which value of E above lowest polymorph does entry 3 give?
  100 meV per atom



- Among the records above, which one has the lowest DOS(E_F)?
  ScBe2In2